No. 1
Density functional theory data (GGA-PBE) for crystalline LiHfTl2F6 at its relaxed geometry.

a b c (Å): 7.454 7.454 6.499
angles (deg): 103.46 103.46 67.27
Fractional positions:
F (0.842, 0.091, 0.052)
F (0.146, 0.640, 0.113)
F (0.464, 0.261, 0.171)
F (0.739, 0.536, 0.329)
F (0.359, 0.854, 0.388)
F (0.909, 0.158, 0.448)
F (0.091, 0.842, 0.552)
F (0.640, 0.146, 0.613)
F (0.261, 0.464, 0.671)
F (0.536, 0.739, 0.829)
F (0.854, 0.359, 0.888)
F (0.158, 0.909, 0.948)
Hf (0.084, 0.916, 0.250)
Hf (0.916, 0.084, 0.750)
Li (0.675, 0.325, 0.250)
Li (0.325, 0.675, 0.750)
Tl (0.653, 0.851, 0.206)
Tl (0.149, 0.347, 0.294)
Tl (0.851, 0.653, 0.706)
Tl (0.347, 0.149, 0.794)

Computed properties:
The total magnetic moment comes out at 1.967 μB per cell. The total DFT energy (no corrections) comes out at -0.3900 Ry per atom.

=====

No. 2
Density functional theory data (GGA-PBE) for crystalline TaB4 at its relaxed geometry.

a b c (Å): 5.305 5.305 6.779
angles (deg): 90.00 90.00 120.00
Fractional positions:
B (0.000, 0.663, 0.000)
B (0.663, 0.663, 0.000)
B (0.337, 0.000, 0.000)
B (0.663, 0.000, 0.000)
B (0.000, 0.337, 0.000)
B (0.337, 0.337, 0.000)
B (0.667, 0.333, 0.125)
B (0.667, 0.333, 0.375)
B (0.000, 0.337, 0.500)
B (0.337, 0.337, 0.500)
B (0.337, 0.000, 0.500)
B (0.663, 0.000, 0.500)
B (0.000, 0.663, 0.500)
B (0.663, 0.663, 0.500)
B (0.333, 0.667, 0.625)
B (0.333, 0.667, 0.875)
Ta (0.000, 0.000, 0.250)
Ta (0.333, 0.667, 0.250)
Ta (0.000, 0.000, 0.750)
Ta (0.667, 0.333, 0.750)

Computed properties:
The total magnetic moment comes out at 0.004 μB per cell. The total DFT energy (no corrections) comes out at -0.5616 Ry per atom.

=====

No. 3
Density functional theory data (GGA-PBE) for crystalline Lu2Hf4Pb3C3 at its relaxed geometry.

a b c (Å): 5.932 5.932 15.376
angles (deg): 101.24 101.24 60.00
Fractional positions:
C (0.673, 0.153, 0.000)
C (0.000, 0.500, 0.000)
C (0.327, 0.847, 0.000)
C (0.153, 0.673, 0.500)
C (0.500, 0.000, 0.500)
C (0.847, 0.327, 0.500)
Hf (0.694, 0.854, 0.079)
Hf (0.021, 0.199, 0.079)
Hf (0.801, 0.979, 0.421)
Hf (0.146, 0.306, 0.421)
Hf (0.854, 0.694, 0.579)
Hf (0.199, 0.021, 0.579)
Hf (0.979, 0.801, 0.921)
Hf (0.306, 0.146, 0.921)
Lu (0.368, 0.530, 0.087)
Lu (0.470, 0.632, 0.413)
Lu (0.530, 0.368, 0.587)
Lu (0.632, 0.470, 0.913)
Pb (0.416, 0.236, 0.249)
Pb (0.069, 0.931, 0.250)
Pb (0.764, 0.584, 0.251)
Pb (0.236, 0.416, 0.749)
Pb (0.931, 0.069, 0.750)
Pb (0.584, 0.764, 0.751)

Computed properties:
The total magnetic moment comes out at 0.001 μB per cell. The total DFT energy (no corrections) comes out at -0.5829 Ry per atom.